Density functional theory data (PBE) for a geometry-optimized CaAc6Pr5 structure.

The structure in POSCAR format:
```
CaAc6Pr5
1.0
-2.762 5.372 8.266
2.762 -5.372 8.266
2.762 5.372 -8.266
Ca Ac Pr
1 6 5
Cartesian
0.000 0.000 0.000
2.762 -2.665 5.484
2.762 2.748 0.000
0.000 2.708 2.782
2.762 2.665 5.484
0.000 2.625 8.266
0.000 8.037 2.782
2.762 0.000 2.816
0.000 0.000 5.492
0.000 5.372 0.000
0.000 0.000 11.040
0.000 5.372 5.450
```

Output
V   40.89 Å³/atom
Calculated formation energy   26 meV/atom
E_tot   -4.187 eV/atom